Compound: NpCuSe4
Source: Alexandria via LeMat-Bulk
Functional: GGA-PBE
Structure: optimized geometry Values from VASP.

Geometry as Quantum ESPRESSO input:
```
&SYSTEM
  ibrav = 0, nat = 12, ntyp = 3
/
ATOMIC_SPECIES
Se 78.96 Se.upf
Np 237.00 Np.upf
Cu 63.55 Cu.upf
CELL_PARAMETERS angstrom
-4.513 1.246 -2.670
-1.262 -4.159 5.720
-0.944 6.936 4.834
ATOMIC_POSITIONS angstrom
Se -4.771 -1.356 4.756
Np -4.914 1.381 0.800
Cu -5.361 2.070 7.210
Se -1.525 -2.422 4.172
Se -4.848 3.899 1.939
Cu -1.359 1.953 0.674
Se -5.195 6.445 3.713
Se -2.697 0.716 2.188
Np -1.806 2.642 7.084
Se -1.872 0.124 5.946
Se -1.949 5.379 3.129
Se -4.023 3.307 5.697
```

Properties
Uncorrected energy (eV per cell): -66.69
Symmetry: P2_1/m, No. 11
M_tot (μB per formula unit): 1.6
Formation energy from raw total energies (meV per atom): -395